# 1
RbCaBr3 | PBE | optimized geometry

Summary:
SG: P6_3/mmc, No. 194

```
RbCaBr3
1.0
-2.6764 3.9538 1.9388
-2.4738 -4.1136 -1.8742
0.4486 -7.7874 16.4997
Ca Br Rb
2 6 2
Direct
0.3333 0.6667 0.7500
0.6667 0.3333 0.2500
0.0000 0.0000 0.2500
0.0000 0.0000 0.7500
0.3333 0.6667 0.9021
0.3333 0.6667 0.5979
0.6667 0.3333 0.4021
0.6667 0.3333 0.0979
0.0000 0.0000 0.0000
0.0000 0.0000 0.5000
```

---

# 2
RbCaBr3 | PBE | optimized geometry

Summary:
SG: P6_3/mmc, No. 194

```
RbCaBr3
1.0
4.5586 -2.6319 0.0000
0.0000 5.2638 0.0000
0.0000 0.0000 17.4245
Ca Br Rb
2 6 2
Direct
0.0000 0.0000 0.0000
0.0000 0.0000 0.5000
0.0000 0.0000 0.2500
0.0000 0.0000 0.7500
0.3333 0.6667 0.9458
0.3333 0.6667 0.5542
0.6667 0.3333 0.4458
0.6667 0.3333 0.0542
0.3333 0.6667 0.7500
0.6667 0.3333 0.2500
```

---

# 3
RbCaBr3 | PBE | optimized geometry

Summary:
SG: R3m, No. 160

```
RbCaBr3
1.0
5.4001 0.0000 4.3017
-2.7000 4.6766 4.3017
-2.7000 -4.6766 4.3017
Ca Br Rb
1 3 1
Direct
0.6564 0.6564 0.6564
0.9001 0.4550 0.9001
0.4550 0.9001 0.9001
0.9001 0.9001 0.4550
0.9634 0.9634 0.9634
```

---

# 4
RbCaBr3 | PBE | optimized geometry

Summary:
SG: I-4m2, No. 119

```
RbCaBr3
1.0
6.0364 0.0000 0.0000
0.0000 6.0364 0.0000
3.0182 3.0182 12.3364
Ca Br Rb
2 6 2
Direct
0.6534 0.1534 0.6931
0.8466 0.3466 0.3069
0.1294 0.8797 0.2405
0.1203 0.8706 0.7595
0.1203 0.3699 0.7595
0.6301 0.8797 0.2405
0.3071 0.3071 0.3858
0.6929 0.6929 0.6142
0.0000 0.0000 0.0000
0.2500 0.7500 0.5000
```

---

# 5
Rb4CaBr6 | PBE | optimized geometry

Summary:
SG: R-3c, No. 167

```
Rb4CaBr6
1.0
9.5530 0.0050 -0.0853
0.0846 9.5526 -0.0853
-0.0050 -0.0050 9.5533
Rb Ca Br
8 2 12
Direct
0.3760 0.1240 0.2500
0.8760 0.2500 0.3760
0.2500 0.6240 0.1240
0.2500 0.2500 0.7500
0.7500 0.7500 0.2500
0.7500 0.3760 0.8760
0.1240 0.7500 0.6240
0.6240 0.8760 0.7500
0.5000 0.5000 0.5000
0.0000 0.0000 0.0000
0.7083 0.0588 0.0718
0.0718 0.2917 0.0588
0.5718 0.4412 0.2083
0.9412 0.0718 0.7083
0.5588 0.2083 0.5718
0.2083 0.4282 0.4412
0.7917 0.5718 0.5588
0.4412 0.7917 0.4282
0.0588 0.9282 0.2917
0.4282 0.5588 0.7917
0.9282 0.7083 0.9412
0.2917 0.9412 0.9282
```

---

# 6
RbCaBr3 | PBE | optimized geometry

Summary:
SG: Pnma, No. 62

```
RbCaBr3
1.0
-4.3999 -6.1631 2.9758
4.0253 -6.7885 -8.1077
6.0194 -2.0326 4.6903
Ca Br Rb
4 12 4
Direct
0.0000 0.0000 0.5000
0.5000 0.5000 0.0000
0.5000 0.0000 0.0000
0.0000 0.5000 0.5000
0.2066 0.9587 0.7957
0.2934 0.4587 0.2957
0.2934 0.0413 0.2957
0.7934 0.4587 0.2043
0.7934 0.0413 0.2043
0.7066 0.5413 0.7043
0.7066 0.9587 0.7043
0.2066 0.5413 0.7957
0.4830 0.2500 0.9198
0.0170 0.7500 0.4198
0.5170 0.7500 0.0802
0.9830 0.2500 0.5802
0.5583 0.2500 0.4825
0.9417 0.7500 0.9825
0.4417 0.7500 0.5175
0.0583 0.2500 0.0175
```

---

# 7
RbCaBr3 | PBE | optimized geometry

Summary:
SG: P1, No. 1

```
RbCaBr3
1.0
-5.0946 -0.8478 -5.7749
8.8747 -0.7986 -4.0384
-0.3595 -6.7035 -3.8853
Ca Rb Br
2 2 6
Direct
0.6214 0.6205 0.1876
0.9577 0.6312 0.5164
0.6057 0.0983 0.8499
0.2457 0.5599 0.8915
0.1450 0.4158 0.3930
0.0572 0.8109 0.0922
0.4191 0.8141 0.3655
0.7454 0.4149 0.9801
0.7652 0.8097 0.7426
0.5562 0.4149 0.5809
```

---

# 8
RbCaBr3 | PBE | optimized geometry

Summary:
SG: Pnma, No. 62

```
RbCaBr3
1.0
7.4204 0.0000 0.0000
0.0000 13.9412 0.0000
0.0000 0.0000 8.9606
Ca Br Rb
4 12 4
Direct
0.6555 0.2500 0.2647
0.8445 0.7500 0.7647
0.3445 0.7500 0.7353
0.1555 0.2500 0.2353
0.1029 0.8950 0.8596
0.3971 0.3950 0.3596
0.3971 0.1050 0.3596
0.8971 0.3950 0.1404
0.8971 0.1050 0.1404
0.6029 0.6050 0.6404
0.6029 0.8950 0.6404
0.1029 0.6050 0.8596
0.4201 0.2500 0.9958
0.0799 0.7500 0.4958
0.5799 0.7500 0.0042
0.9201 0.2500 0.5042
0.0000 0.0000 0.5000
0.5000 0.5000 0.0000
0.5000 0.0000 0.0000
0.0000 0.5000 0.5000
```

---

Formation energy without anion corrections / eV/atom: -1.863; -1.672; -1.662; -1.234; -1.843; -1.946; -1.929; -1.910